Computed, not measured: an optimized crystal structure of TcSn2Os at the GGA-PBE level of DFT.

a = 6.5066 Å, b = 6.5066 Å, c = 6.5066 Å
α = 90.00°, β = 90.00°, γ = 90.00°
With the nearest neighbours (Å) after each atom.
Space group Fm-3m (No. 225)
Asymmetric unit:
Tc (0.0000, 0.0000, 0.0000) x4  8 Sn 2.82
Sn (0.2500, 0.2500, 0.2500) x8  4 Tc 2.82, 4 Os 2.82
Os (0.0000, 0.0000, 0.5000) x4  8 Sn 2.82

Summary:
calculated formation energy	0.274	eV/atom
volume	275.47	Å³/cell
crystal system	cubic
final energy	-7.13	eV/atom
magnetic moment	0.000	μB per cell